No. 1
The following is a DFT calculation (PBE) of a relaxed structure of LiMgCd3Pb.

Results
total energy = -1.769 eV per atom
crystal system = orthorhombic
ΔE_f = -0.108 eV per atom
calculated volume = 274 Å³/cell
M_tot = 0.00 μB/cell

a = 8.128 Å, b = 8.128 Å, c = 9.763 Å
α = 90.00°, β = 90.00°, γ = 154.83°
Positions (direct):
Li: 0.000 0.000 0.000
Li: 0.000 0.000 0.500
Mg: 0.210 0.790 0.750
Mg: 0.790 0.210 0.250
Cd: 0.128 0.872 0.250
Cd: 0.333 0.667 0.504
Cd: 0.333 0.667 0.996
Cd: 0.667 0.333 0.004
Cd: 0.667 0.333 0.496
Cd: 0.872 0.128 0.750
Pb: 0.456 0.544 0.250
Pb: 0.544 0.456 0.750

---

No. 2
The following is a DFT calculation (PBE) of a relaxed structure of LiMgCdPb.

Results
total energy = -2.186 eV per atom
crystal system = cubic
ΔE_f = -0.153 eV per atom
calculated volume = 359 Å³/cell
M_tot = 0.00 μB/cell
energy above the most stable polymorph in this dataset = 0.6 kJ/mol of atoms

a = 7.110 Å, b = 7.110 Å, c = 7.110 Å
α = 90.00°, β = 90.00°, γ = 90.00°
Positions (direct):
Li: 0.000 0.000 0.000
Li: 0.000 0.500 0.500
Li: 0.500 0.000 0.500
Li: 0.500 0.500 0.000
Mg: 0.000 0.000 0.500
Mg: 0.000 0.500 0.000
Mg: 0.500 0.000 0.000
Mg: 0.500 0.500 0.500
Cd: 0.250 0.250 0.250
Cd: 0.250 0.750 0.750
Cd: 0.750 0.250 0.750
Cd: 0.750 0.750 0.250
Pb: 0.250 0.250 0.750
Pb: 0.250 0.750 0.250
Pb: 0.750 0.250 0.250
Pb: 0.750 0.750 0.750

---

No. 3
The following is a DFT calculation (PBE) of a relaxed structure of LiMg3Cd3Pd2.

Results
total energy = -2.563 eV per atom
crystal system = hexagonal
ΔE_f = -0.359 eV per atom
calculated volume = 166 Å³/cell
M_tot = 0.00 μB/cell

a = 7.957 Å, b = 7.957 Å, c = 3.023 Å
α = 90.00°, β = 90.00°, γ = 120.00°
Positions (direct):
Li: 0.000 0.000 0.000
Mg: 0.000 0.385 0.000
Mg: 0.385 0.000 0.000
Mg: 0.615 0.615 0.000
Cd: 0.000 0.711 0.500
Cd: 0.289 0.289 0.500
Cd: 0.711 0.000 0.500
Pd: 0.333 0.667 0.500
Pd: 0.667 0.333 0.500

---

- Look up the calculated volume of the third one.
  166 Å³/cell

---

Please write out number 3 again, unchanged.
The following is a DFT calculation (PBE) of a relaxed structure of LiMg3Cd3Pd2.

Results
total energy = -2.563 eV per atom
crystal system = hexagonal
ΔE_f = -0.359 eV per atom
calculated volume = 166 Å³/cell
M_tot = 0.00 μB/cell

a = 7.957 Å, b = 7.957 Å, c = 3.023 Å
α = 90.00°, β = 90.00°, γ = 120.00°
Positions (direct):
Li: 0.000 0.000 0.000
Mg: 0.000 0.385 0.000
Mg: 0.385 0.000 0.000
Mg: 0.615 0.615 0.000
Cd: 0.000 0.711 0.500
Cd: 0.289 0.289 0.500
Cd: 0.711 0.000 0.500
Pd: 0.333 0.667 0.500
Pd: 0.667 0.333 0.500